First-principles (PBE with a Hubbard U) data for an optimized crystal structure of CoP2PbO, as listed in Alexandria.

Computed properties:
- SG: P4/mmm (123)
- ρ: 6.99 g cm⁻³
- Energy above the lowest structure with this stoichiometry: 0 meV/atom
- M_tot: 1.94 μB per cell
- Electronic total energy: -23.53 eV/cell

Geometry as CIF:
```
data_CoP2PbO
_chemical_formula_sum 'Co1 P2 Pb1 O1'
_cell_length_a 4.8116
_cell_length_b 4.8116
_cell_length_c 3.5308
_cell_angle_alpha 90.00
_cell_angle_beta 90.00
_cell_angle_gamma 90.00
_symmetry_space_group_name_H-M 'P 1'
_symmetry_Int_Tables_number 1
_symmetry_space_group_name_Hall 'P 1'
loop_
_atom_site_label
_atom_site_fract_x
_atom_site_fract_y
_atom_site_fract_z
_atom_site_occupancy
Pb1 0.5000 0.5000 0.5000 1
Co1 0.0000 0.0000 0.0000 1
P1 0.0000 0.5000 0.0000 1
P2 0.5000 0.0000 0.0000 1
O1 0.0000 0.0000 0.5000 1
```